[1]
# GGA-PBE CdNiRh2, relaxed
data_CdNiRh2
_chemical_formula_sum 'Cd1 Ni1 Rh2'
_cell_length_a 3.935
_cell_length_b 3.935
_cell_length_c 3.826
_cell_angle_alpha 90.00
_cell_angle_beta 90.00
_cell_angle_gamma 90.00
_symmetry_space_group_name_H-M 'P 4/m m m'
_symmetry_Int_Tables_number 123
_symmetry_space_group_name_Hall '-P 4 2'
loop_
_atom_site_label
_atom_site_type_symbol
_atom_site_fract_x
_atom_site_fract_y
_atom_site_fract_z
Cd1 Cd 0.000 0.000 0.000
Ni1 Ni 0.500 0.500 0.000
Rh1 Rh 0.000 0.500 0.500
# Volume   59 Å³/cell
# Crystal system   tetragonal
# E_form   0.480 eV per formula unit

[2]
# GGA-PBE CdNi2Rh, relaxed
data_CdNi2Rh
_chemical_formula_sum 'Cd2 Ni4 Rh2'
_cell_length_a 3.896
_cell_length_b 3.896
_cell_length_c 7.361
_cell_angle_alpha 90.00
_cell_angle_beta 90.00
_cell_angle_gamma 90.00
_symmetry_space_group_name_H-M 'I 4/m m m'
_symmetry_Int_Tables_number 139
_symmetry_space_group_name_Hall '-I 4 2'
loop_
_atom_site_label
_atom_site_type_symbol
_atom_site_fract_x
_atom_site_fract_y
_atom_site_fract_z
Cd1 Cd 0.000 0.000 0.000
Ni1 Ni 0.000 0.500 0.250
Rh1 Rh 0.000 0.000 0.500
# Volume   112 Å³/cell
# Crystal system   tetragonal
# E_form   0.397 eV per formula unit

[3]
# GGA-PBE CdNiRh2, relaxed
data_CdNiRh2
_chemical_formula_sum 'Cd2 Ni2 Rh4'
_cell_length_a 3.917
_cell_length_b 3.917
_cell_length_c 7.772
_cell_angle_alpha 90.00
_cell_angle_beta 90.00
_cell_angle_gamma 90.00
_symmetry_space_group_name_H-M 'I 4/m m m'
_symmetry_Int_Tables_number 139
_symmetry_space_group_name_Hall '-I 4 2'
loop_
_atom_site_label
_atom_site_type_symbol
_atom_site_fract_x
_atom_site_fract_y
_atom_site_fract_z
Cd1 Cd 0.000 0.000 0.000
Ni1 Ni 0.000 0.000 0.500
Rh1 Rh 0.000 0.500 0.250
# Volume   119 Å³/cell
# Crystal system   tetragonal
# E_form   0.465 eV per formula unit

[4]
# GGA-PBE CdNi2Rh, relaxed
data_CdNi2Rh
_chemical_formula_sum 'Cd1 Ni2 Rh1'
_cell_length_a 2.763
_cell_length_b 2.763
_cell_length_c 7.337
_cell_angle_alpha 90.00
_cell_angle_beta 90.00
_cell_angle_gamma 90.00
_symmetry_space_group_name_H-M 'P 4/m m m'
_symmetry_Int_Tables_number 123
_symmetry_space_group_name_Hall '-P 4 2'
loop_
_atom_site_label
_atom_site_type_symbol
_atom_site_fract_x
_atom_site_fract_y
_atom_site_fract_z
Cd1 Cd 0.000 0.000 0.000
Ni1 Ni 0.500 0.500 0.270
Rh1 Rh 0.000 0.000 0.500
# Volume   56 Å³/cell
# Crystal system   tetragonal
# E_form   0.341 eV per formula unit

[5]
# GGA-PBE CdNiRh2, relaxed
data_CdNiRh2
_chemical_formula_sum 'Cd1 Ni1 Rh2'
_cell_length_a 2.839
_cell_length_b 2.839
_cell_length_c 7.358
_cell_angle_alpha 90.00
_cell_angle_beta 90.00
_cell_angle_gamma 90.00
_symmetry_space_group_name_H-M 'P 4/m m m'
_symmetry_Int_Tables_number 123
_symmetry_space_group_name_Hall '-P 4 2'
loop_
_atom_site_label
_atom_site_type_symbol
_atom_site_fract_x
_atom_site_fract_y
_atom_site_fract_z
Cd1 Cd 0.000 0.000 0.000
Ni1 Ni 0.000 0.000 0.500
Rh1 Rh 0.500 0.500 0.285
# Volume   59 Å³/cell
# Crystal system   tetragonal
# E_form   0.202 eV per formula unit

[6]
# GGA-PBE Sc4CdNi2Rh, relaxed
data_Sc4CdNi2Rh
_chemical_formula_sum 'Sc12 Cd3 Ni6 Rh3'
_cell_length_a 4.6352
_cell_length_b 4.6352
_cell_length_c 22.9728
_cell_angle_alpha 90.00
_cell_angle_beta 90.00
_cell_angle_gamma 120.00
_symmetry_space_group_name_H-M 'R -3 m'
_symmetry_Int_Tables_number 166
_symmetry_space_group_name_Hall '-R 3 2"'
loop_
_atom_site_label
_atom_site_type_symbol
_atom_site_fract_x
_atom_site_fract_y
_atom_site_fract_z
Sc1 Sc 0.0000 0.0000 0.1173
Sc2 Sc 0.0000 0.0000 0.3698
Cd1 Cd 0.0000 0.0000 0.5000
Ni1 Ni 0.0000 0.0000 0.2508
Rh1 Rh 0.0000 0.0000 0.0000
# Volume   427 Å³/cell
# Crystal system   trigonal
# E_form   -4.227 eV per formula unit

[7]
# GGA-PBE Sc4CdNiRh2, relaxed
data_Sc4CdNiRh2
_chemical_formula_sum 'Sc12 Cd3 Ni3 Rh6'
_cell_length_a 4.6559
_cell_length_b 4.6559
_cell_length_c 22.9466
_cell_angle_alpha 90.00
_cell_angle_beta 90.00
_cell_angle_gamma 120.00
_symmetry_space_group_name_H-M 'R -3 m'
_symmetry_Int_Tables_number 166
_symmetry_space_group_name_Hall '-R 3 2"'
loop_
_atom_site_label
_atom_site_type_symbol
_atom_site_fract_x
_atom_site_fract_y
_atom_site_fract_z
Sc1 Sc 0.0000 0.0000 0.1172
Sc2 Sc 0.0000 0.0000 0.3695
Cd1 Cd 0.0000 0.0000 0.5000
Ni1 Ni 0.0000 0.0000 0.0000
Rh1 Rh 0.0000 0.0000 0.2504
# Volume   431 Å³/cell
# Crystal system   trigonal
# E_form   -5.256 eV per formula unit

[8]
# GGA-PBE Cd2SiNiRh, relaxed
data_Cd2SiNiRh
_chemical_formula_sum 'Cd2 Si1 Ni1 Rh1'
_cell_length_a 5.084
_cell_length_b 5.084
_cell_length_c 4.570
_cell_angle_alpha 90.00
_cell_angle_beta 90.00
_cell_angle_gamma 90.00
_symmetry_space_group_name_H-M 'P 4/m m m'
_symmetry_Int_Tables_number 123
_symmetry_space_group_name_Hall '-P 4 2'
loop_
_atom_site_label
_atom_site_type_symbol
_atom_site_fract_x
_atom_site_fract_y
_atom_site_fract_z
Cd1 Cd 0.000 0.500 0.000
Si1 Si 0.000 0.000 0.500
Ni1 Ni 0.500 0.500 0.500
Rh1 Rh 0.500 0.500 0.000
# Uncorrected formation energy   926 meV per atom
# Volume   118 Å³/cell
# Crystal system   tetragonal

[9]
# GGA-PBE CdNiSnRh, relaxed
data_CdNiSnRh
_chemical_formula_sum 'Cd4 Ni4 Sn4 Rh4'
_cell_length_a 6.395
_cell_length_b 6.395
_cell_length_c 6.395
_cell_angle_alpha 90.00
_cell_angle_beta 90.00
_cell_angle_gamma 90.00
_symmetry_space_group_name_H-M 'F -4 3 m'
_symmetry_Int_Tables_number 216
_symmetry_space_group_name_Hall 'F -4 2 3'
loop_
_atom_site_label
_atom_site_type_symbol
_atom_site_fract_x
_atom_site_fract_y
_atom_site_fract_z
Cd1 Cd 0.000 0.000 0.000
Ni1 Ni 0.250 0.250 0.750
Sn1 Sn 0.000 0.000 0.500
Rh1 Rh 0.250 0.250 0.250
# Volume   262 Å³/cell
# Crystal system   cubic
# E_form   -0.698 eV per formula unit

[10]
# GGA-PBE ThCdNiRh, relaxed
data_ThCdNiRh
_chemical_formula_sum 'Th4 Cd4 Ni4 Rh4'
_cell_length_a 6.783
_cell_length_b 6.783
_cell_length_c 6.783
_cell_angle_alpha 90.00
_cell_angle_beta 90.00
_cell_angle_gamma 90.00
_symmetry_space_group_name_H-M 'F -4 3 m'
_symmetry_Int_Tables_number 216
_symmetry_space_group_name_Hall 'F -4 2 3'
loop_
_atom_site_label
_atom_site_type_symbol
_atom_site_fract_x
_atom_site_fract_y
_atom_site_fract_z
Th1 Th 0.000 0.000 0.000
Cd1 Cd 0.000 0.000 0.500
Ni1 Ni 0.250 0.250 0.750
Rh1 Rh 0.250 0.250 0.250
# Volume   312 Å³/cell
# Crystal system   cubic
# E_form   -1.565 eV per formula unit

[11]
# GGA-PBE TlCdNiRh, relaxed
data_TlCdNiRh
_chemical_formula_sum 'Tl4 Cd4 Ni4 Rh4'
_cell_length_a 6.467
_cell_length_b 6.467
_cell_length_c 6.467
_cell_angle_alpha 90.00
_cell_angle_beta 90.00
_cell_angle_gamma 90.00
_symmetry_space_group_name_H-M 'F -4 3 m'
_symmetry_Int_Tables_number 216
_symmetry_space_group_name_Hall 'F -4 2 3'
loop_
_atom_site_label
_atom_site_type_symbol
_atom_site_fract_x
_atom_site_fract_y
_atom_site_fract_z
Tl1 Tl 0.000 0.000 0.000
Cd1 Cd 0.000 0.000 0.500
Ni1 Ni 0.250 0.250 0.750
Rh1 Rh 0.250 0.250 0.250
# Volume   270 Å³/cell
# Crystal system   cubic
# E_form   0.373 eV per formula unit

[12]
# GGA-PBE VCdNiRh, relaxed
data_VCdNiRh
_chemical_formula_sum 'V4 Cd4 Ni4 Rh4'
_cell_length_a 6.170
_cell_length_b 6.170
_cell_length_c 6.170
_cell_angle_alpha 90.00
_cell_angle_beta 90.00
_cell_angle_gamma 90.00
_symmetry_space_group_name_H-M 'F -4 3 m'
_symmetry_Int_Tables_number 216
_symmetry_space_group_name_Hall 'F -4 2 3'
loop_
_atom_site_label
_atom_site_type_symbol
_atom_site_fract_x
_atom_site_fract_y
_atom_site_fract_z
V1 V 0.000 0.000 0.000
Cd1 Cd 0.000 0.000 0.500
Ni1 Ni 0.250 0.250 0.750
Rh1 Rh 0.250 0.250 0.250
# Volume   235 Å³/cell
# Crystal system   cubic
# Energy above the lowest structure with this stoichiometry   0.173 eV per atom
# E_form   -0.001 eV per formula unit

[13]
# GGA-PBE VCdNiRh, relaxed
data_VCdNiRh
_chemical_formula_sum 'V1 Cd1 Ni1 Rh1'
_cell_length_a 2.901
_cell_length_b 2.901
_cell_length_c 6.993
_cell_angle_alpha 90.00
_cell_angle_beta 90.00
_cell_angle_gamma 90.00
_symmetry_space_group_name_H-M 'P 4 m m'
_symmetry_Int_Tables_number 99
loop_
_symmetry_equiv_pos_as_xyz
'x,y,z'
'-y,x,z'
'-x,-y,z'
'y,-x,z'
'-x,y,z'
'y,x,z'
'x,-y,z'
'-y,-x,z'
loop_
_atom_site_label
_atom_site_type_symbol
_atom_site_fract_x
_atom_site_fract_y
_atom_site_fract_z
V1 V 0.000 0.000 0.000
Cd1 Cd 0.000 0.000 0.520
Ni1 Ni 0.500 0.500 0.792
Rh1 Rh 0.500 0.500 0.218
# Volume   59 Å³/cell
# Crystal system   tetragonal
# Energy above the lowest structure with this stoichiometry   0.000 eV per atom
# E_form   -0.691 eV per formula unit

[14]
# GGA-PBE CdNi2Ru, relaxed
data_CdNi2Ru
_chemical_formula_sum 'Cd2 Ni4 Ru2'
_cell_length_a 3.964
_cell_length_b 3.964
_cell_length_c 7.118
_cell_angle_alpha 90.00
_cell_angle_beta 90.00
_cell_angle_gamma 90.00
_symmetry_space_group_name_H-M 'I 4/m m m'
_symmetry_Int_Tables_number 139
_symmetry_space_group_name_Hall '-I 4 2'
loop_
_atom_site_label
_atom_site_type_symbol
_atom_site_fract_x
_atom_site_fract_y
_atom_site_fract_z
Cd1 Cd 0.000 0.000 0.000
Ni1 Ni 0.000 0.500 0.250
Ru1 Ru 0.000 0.000 0.500
# Volume   112 Å³/cell
# Crystal system   tetragonal
# E_form   1.115 eV per formula unit

[15]
# GGA-PBE Cd3NiRu, relaxed
data_Cd3NiRu
_chemical_formula_sum 'Cd3 Ni1 Ru1'
_cell_length_a 5.124
_cell_length_b 5.124
_cell_length_c 5.124
_cell_angle_alpha 90.00
_cell_angle_beta 90.00
_cell_angle_gamma 90.00
_symmetry_space_group_name_H-M 'P m -3 m'
_symmetry_Int_Tables_number 221
_symmetry_space_group_name_Hall '-P 4 2 3'
loop_
_atom_site_label
_atom_site_type_symbol
_atom_site_fract_x
_atom_site_fract_y
_atom_site_fract_z
Cd1 Cd 0.000 0.000 0.500
Ni1 Ni 0.500 0.500 0.500
Ru1 Ru 0.000 0.000 0.000
# Volume   135 Å³/cell
# Crystal system   cubic
# Energy above the lowest structure with this stoichiometry   0.251 eV per atom
# E_form   5.667 eV per formula unit

Sequential density of states at the Fermi level output: 1.156 1.015 1.286 1.432 1.599 0.572 0.643 0.864 1.170 0.905 0.696 0.996 0.974 1.290 3.470 states/eV/atom